Compound: CdIn2Te
Source: Alexandria via LeMat-Bulk
Functional: GGA-PBE
Structure: optimized geometry

Cell: 6.7654 6.7654 6.5849 Å, 118.69 118.69 76.92°
With the nearest neighbours (Å) after each atom.
Element x y z (fractional)
Cd  0.0036  0.0036  0.2493  2 Te 3.04-3.05, 2 In 3.05-3.08, 2 Cd 3.24-3.35
Cd  0.9964  0.9964  0.7507  2 Te 3.04-3.05, 2 In 3.05-3.08, 2 Cd 3.24-3.35
In  0.0055  0.5021  0.1071  2 Cd 3.05-3.08, 2 In 3.12-3.13, 2 Te 3.22-3.37
In  0.4979  0.9945  0.8929  2 Cd 3.05-3.08, 2 In 3.12-3.13, 2 Te 3.22-3.37
In  0.5037  0.4963  0.0000  2 Te 3.10, 4 In 3.12-3.29
In  0.5051  0.4949  0.5000  2 Te 3.08, 4 In 3.13-3.29
Te  0.0038  0.4968  0.6152  2 Cd 3.04-3.05, 4 In 3.08-3.37
Te  0.5032  0.9962  0.3848  2 Cd 3.04-3.05, 4 In 3.08-3.37

Properties
formation energy without anion corrections: -101 meV/atom
crystal system: monoclinic
E_tot: -19.873 eV for the cell shown